Record 1
This record from Alexandria describes a relaxed structure of MgBeMoOs. The functional is PBE.

spin magnetization: 0.00 Bohr magnetons per cell
E: -6.827 eV/atom
ΔH_f (0 K): 18 meV per atom

a b c (Å): 6.0560 6.0560 6.0560
angles (deg): 90.00 90.00 90.00
Last column: nearest neighbours and their distance in Å.
Space group F-43m (No. 216)
Unique sites:
Mg 0.0000 0.0000 0.0000 (multiplicity 4)  4 Mo 2.62, 4 Be 2.62
Be 0.2500 0.2500 0.7500 (multiplicity 4)  4 Os 2.62, 4 Mg 2.62
Mo 0.2500 0.2500 0.2500 (multiplicity 4)  4 Os 2.62, 4 Mg 2.62
Os 0.0000 0.0000 0.5000 (multiplicity 4)  4 Be 2.62, 4 Mo 2.62

=====

Record 2
This record from Alexandria describes a relaxed structure of Mg2BeSnMo. The functional is PBE.

spin magnetization: 2.69 Bohr magnetons per cell
E: -2.913 eV/atom
ΔH_f (0 K): 1437 meV per atom

a b c (Å): 5.1720 5.1720 5.2232
angles (deg): 90.00 90.00 90.00
Last column: nearest neighbours and their distance in Å.
Space group P4/mmm (No. 123)
Unique sites:
Mg 0.0000 0.5000 0.0000 (multiplicity 2)  2 Sn 2.59
Be 0.0000 0.0000 0.5000 (multiplicity 1)  4 Mo 3.66, 8 Mg 3.68
Sn 0.5000 0.5000 0.0000 (multiplicity 1)  4 Mg 2.59, 2 Mo 2.61
Mo 0.5000 0.5000 0.5000 (multiplicity 1)  2 Sn 2.61

=====

Record 3
This record from Alexandria describes a relaxed structure of MgBe2TcMo. The functional is PBE.

spin magnetization: 1.59 Bohr magnetons per cell
E: -4.237 eV/atom
ΔH_f (0 K): 1812 meV per atom

a b c (Å): 4.0981 4.0981 4.6249
angles (deg): 90.00 90.00 90.00
Last column: nearest neighbours and their distance in Å.
Space group P4/mmm (No. 123)
Unique sites:
Mg 0.0000 0.0000 0.0000 (multiplicity 1)  4 Be 2.05
Be 0.0000 0.5000 0.0000 (multiplicity 2)  2 Mg 2.05
Tc 0.5000 0.5000 0.5000 (multiplicity 1)  4 Mo 2.90, 8 Be 3.09
Mo 0.0000 0.0000 0.5000 (multiplicity 1)  2 Mg 2.31

=====

Record 4
This record from Alexandria describes a relaxed structure of MgBeMoW2. The functional is PBE.

spin magnetization: 0.00 Bohr magnetons per cell
E: -7.535 eV/atom
ΔH_f (0 K): 876 meV per atom

a b c (Å): 4.3082 4.3082 4.2915
angles (deg): 90.00 90.00 90.00
Last column: nearest neighbours and their distance in Å.
Space group P4/mmm (No. 123)
Unique sites:
Mg 0.0000 0.0000 0.0000 (multiplicity 1)  8 W 3.04, 4 Mo 3.05
Be 0.5000 0.5000 0.5000 (multiplicity 1)  2 Mo 2.15, 4 W 2.15
Mo 0.5000 0.5000 0.0000 (multiplicity 1)  2 Be 2.15
W 0.0000 0.5000 0.5000 (multiplicity 2)  2 Be 2.15

=====

ΔH_f (0 K) of number 3 (MgBe2TcMo)? 1812 meV per atom